{
  "formula": "Pa3WN6O2",
  "functional": "PBE+U",
  "state": "optimized geometry",
  "lattice_angstrom": [[-3.6932, -2.6541, 1.3568], [2.6831, -0.5651, 6.1979], [-4.1651, 4.8547, -1.4597]],
  "species": ["O", "O", "N", "W", "N", "Pa", "N", "N", "Pa", "N", "N", "Pa"],
  "fractional_positions": [[0.7462, 0.3366, 0.6733], [0.2538, 0.6634, 0.3267], [0.2701, 0.6930, 0.8544], [0.5000, 0.0000, 0.0000], [0.7299, 0.8386, 0.1456], [0.5000, 0.5000, 0.5000], [0.7299, 0.3070, 0.1456], [0.3047, 0.1616, 0.3232], [0.0000, 0.5000, 0.0000], [0.6953, 0.8384, 0.6768], [0.2701, 0.1614, 0.8544], [0.5000, 0.0000, 0.5000]],
  "final_energy_ev_per_atom": -9.31,
  "space_group": "No. 12"
}